Density functional theory data (GGA-PBE) for a geometry-optimized MnAsSe2 structure.

Summary:
Total DFT energy (no corrections): -21.3 eV for the cell shown
Spin magnetization: 2.0 Bohr magnetons per cell
Energy relative to the elements, uncorrected: -0.1404 eV/atom

a = 4.594 Å, b = 4.594 Å, c = 6.938 Å
α = 71.48°, β = 71.48°, γ = 44.50°
Site moments in Bohr magnetons follow the coordinates.
Element x y z (fractional)
As 0.595 0.595 0.375  -0.08
Mn 0.299 0.299 0.375  2.12
Se 0.880 0.880 0.103  -0.03
Se 0.726 0.726 0.647  -0.03

Density functional theory data (GGA-PBE) for a geometry-optimized Ga2Co2B structure.

Summary:
Total DFT energy (no corrections): -23.4 eV for the cell shown
Energy of formation: 0.703 eV/atom
Spin magnetization: 3.1 Bohr magnetons per cell

a = 3.236 Å, b = 3.236 Å, c = 6.829 Å
α = 76.29°, β = 76.29°, γ = 90.00°
Site moments in Bohr magnetons follow the coordinates.
Element x y z (fractional)
B 0.000 0.000 0.000  0.05
Co 0.750 0.250 0.500  1.53
Co 0.250 0.750 0.500  1.53
Ga 0.402 0.402 0.195  -0.02
Ga 0.598 0.598 0.805  -0.02

Density functional theory data (GGA-PBE) for a geometry-optimized HgTe2Au structure.

Summary:
Total DFT energy (no corrections): -9.9 eV for the cell shown
Spin magnetization: 0.0 Bohr magnetons per cell
Energy relative to the elements, uncorrected: 0.0001 eV/atom

a = 4.238 Å, b = 4.238 Å, c = 7.719 Å
α = 90.00°, β = 90.00°, γ = 120.00°
Element x y z (fractional)
Te 0.333 0.667 0.811
Te 0.667 0.333 0.205
Au 0.000 0.000 0.994
Hg 0.333 0.667 0.444

Density functional theory data (GGA-PBE) for a geometry-optimized CrCuIr2Au structure.

Summary:
Total DFT energy (no corrections): -23.0 eV for the cell shown
Energy of formation: 2.334 eV/atom
Spin magnetization: 1.1 Bohr magnetons per cell

a = 4.909 Å, b = 4.569 Å, c = 4.909 Å
α = 90.00°, β = 90.00°, γ = 90.00°
Site moments in Bohr magnetons follow the coordinates.
Element x y z (fractional)
Cr 0.000 0.500 0.000  -0.40
Ir 0.000 0.000 0.500  -0.46
Ir 0.500 0.000 0.000  -0.20
Au 0.000 0.000 0.000  -0.05
Cu 0.500 0.500 0.500  0.01

Density functional theory data (GGA-PBE) for a geometry-optimized PmPdPt structure.

Summary:
Total DFT energy (no corrections): -18.0 eV for the cell shown
Energy of formation: -0.670 eV/atom
Spin magnetization: 0.0 Bohr magnetons per cell

a = 4.659 Å, b = 4.659 Å, c = 4.659 Å
α = 60.00°, β = 60.00°, γ = 60.00°
Element x y z (fractional)
Pd 0.000 0.000 0.000
Pt 0.250 0.250 0.250
Pm 0.500 0.500 0.500

Density functional theory data (GGA-PBE) for a geometry-optimized GePdRu2Rh structure.

Summary:
Total DFT energy (no corrections): -27.3 eV for the cell shown
Energy of formation: 1.684 eV/atom
Spin magnetization: 5.0 Bohr magnetons per cell

a = 4.804 Å, b = 4.484 Å, c = 4.804 Å
α = 90.00°, β = 90.00°, γ = 90.00°
Site moments in Bohr magnetons follow the coordinates.
Element x y z (fractional)
Ru 0.000 0.000 0.500  2.20
Ru 0.500 0.000 0.000  1.80
Ge 0.000 0.500 0.000  -0.03
Rh 0.500 0.500 0.500  0.56
Pd 0.000 0.000 0.000  0.33

Density functional theory data (GGA-PBE) for a geometry-optimized Tm4MgSc structure.

Summary:
Total DFT energy (no corrections): -25.8 eV for the cell shown
Energy of formation: 0.007 eV/atom
Spin magnetization: 0.0 Bohr magnetons per cell

a = 3.452 Å, b = 3.452 Å, c = 14.125 Å
α = 90.00°, β = 90.00°, γ = 90.00°
Element x y z (fractional)
Tm 0.500 0.500 0.836
Tm 0.500 0.500 0.164
Tm 0.000 0.000 0.662
Tm 0.000 0.000 0.338
Mg 0.500 0.500 0.500
Sc 0.000 0.000 0.000

Density functional theory data (GGA-PBE) for a geometry-optimized BaTl3 structure.

Summary:
Total DFT energy (no corrections): -9.9 eV for the cell shown
Energy of formation: -0.222 eV/atom
Spin magnetization: 0.0 Bohr magnetons per cell

a = 4.131 Å, b = 5.468 Å, c = 6.227 Å
α = 90.00°, β = 90.00°, γ = 90.00°
Element x y z (fractional)
Tl 0.500 0.000 0.484
Tl 0.500 0.500 0.814
Tl 0.000 0.500 0.383
Ba 0.000 0.000 0.985

Density functional theory data (GGA-PBE) for a geometry-optimized Fe2PdPt2 structure.

Summary:
Total DFT energy (no corrections): -66.4 eV for the cell shown
Energy of formation: 0.203 eV/atom
Spin magnetization: 0.0 Bohr magnetons per cell

a = 7.215 Å, b = 7.215 Å, c = 2.688 Å
α = 90.00°, β = 90.00°, γ = 90.00°
Element x y z (fractional)
Pd 0.000 0.000 0.000
Pd 0.500 0.500 0.000
Pt 0.180 0.680 0.500
Pt 0.680 0.820 0.500
Pt 0.820 0.320 0.500
Pt 0.320 0.180 0.500
Fe 0.388 0.888 0.000
Fe 0.888 0.612 0.000
Fe 0.612 0.112 0.000
Fe 0.112 0.388 0.000

Density functional theory data (GGA-PBE) for a geometry-optimized Li2HgAsRh structure.

Summary:
Total DFT energy (no corrections): -14.0 eV for the cell shown
Energy of formation: 0.430 eV/atom
Spin magnetization: 0.4 Bohr magnetons per cell

a = 4.520 Å, b = 5.179 Å, c = 4.520 Å
α = 90.00°, β = 90.00°, γ = 90.00°
Site moments in Bohr magnetons follow the coordinates.
Element x y z (fractional)
As 0.500 0.500 0.500  0.10
Rh 0.000 0.000 0.000  0.22
Hg 0.000 0.500 0.000  0.00
Li 0.000 0.000 0.500  0.00
Li 0.500 0.000 0.000  0.00

Density functional theory data (GGA-PBE) for a geometry-optimized Y2HfNbN4 structure.

Summary:
Total DFT energy (no corrections): -78.7 eV for the cell shown
Spin magnetization: 0.0 Bohr magnetons per cell
Energy relative to the elements, uncorrected: -1.5508 eV/atom

a = 3.282 Å, b = 5.711 Å, c = 5.774 Å
α = 109.22°, β = 90.00°, γ = 90.00°
Element x y z (fractional)
Y 0.500 0.000 0.500
Y 0.000 0.500 0.500
Hf 0.000 0.000 0.000
Nb 0.500 0.500 0.000
N 0.500 0.239 0.226
N 0.500 0.761 0.774
N 0.000 0.256 0.773
N 0.000 0.744 0.227

Density functional theory data (GGA-PBE) for a geometry-optimized BeFe5 structure.

Summary:
Total DFT energy (no corrections): -45.6 eV for the cell shown
Energy of formation: 0.068 eV/atom
Spin magnetization: 0.9 Bohr magnetons per cell

a = 4.615 Å, b = 4.615 Å, c = 5.670 Å
α = 75.44°, β = 75.44°, γ = 31.09°
Site moments in Bohr magnetons follow the coordinates.
Element x y z (fractional)
Be 0.002 0.002 0.994  -0.01
Fe 0.668 0.668 0.668  -0.48
Fe 0.336 0.336 0.328  -1.05
Fe 0.387 0.387 0.727  1.05
Fe 0.057 0.057 0.388  0.38
Fe 0.718 0.718 0.062  0.98

Density functional theory data (GGA-PBE) for a geometry-optimized TaCo2H structure.

Summary:
Total DFT energy (no corrections): -26.5 eV for the cell shown
Spin magnetization: 0.0 Bohr magnetons per cell

a = 3.859 Å, b = 3.859 Å, c = 5.286 Å
α = 68.59°, β = 68.59°, γ = 60.00°
Element x y z (fractional)
H 0.000 0.000 0.000
Co 0.107 0.107 0.678
Co 0.893 0.893 0.322
Ta 0.500 0.500 0.500

Density functional theory data (GGA-PBE) for a geometry-optimized CeEr5S6 structure.

Summary:
Total DFT energy (no corrections): -77.2 eV for the cell shown
Spin magnetization: 0.6 Bohr magnetons per cell
Energy relative to the elements, uncorrected: -1.9717 eV/atom

a = 6.737 Å, b = 6.735 Å, c = 6.746 Å
α = 60.06°, β = 80.33°, γ = 70.33°
Site moments in Bohr magnetons follow the coordinates.
Element x y z (fractional)
S 0.745 0.085 0.341  0.00
S 0.255 0.574 0.341  0.00
S 0.254 0.256 0.000  0.00
S 0.746 0.744 0.000  0.00
S 0.745 0.426 0.659  0.00
S 0.255 0.915 0.659  0.00
Ce 0.000 0.000 0.000  0.45
Er 0.500 0.165 0.669  0.01
Er 0.000 0.333 0.334  0.02
Er 0.500 0.500 0.000  0.01
Er 0.000 0.667 0.666  0.02
Er 0.500 0.835 0.331  0.01

Density functional theory data (GGA-PBE) for a geometry-optimized Li2ScCBr structure.

Summary:
Total DFT energy (no corrections): -22.7 eV for the cell shown
Spin magnetization: 0.0 Bohr magnetons per cell
Energy relative to the elements, uncorrected: -0.3287 eV/atom

a = 4.279 Å, b = 4.390 Å, c = 4.279 Å
α = 90.00°, β = 90.00°, γ = 90.00°
Element x y z (fractional)
Sc 0.000 0.500 0.000
C 0.000 0.000 0.000
Br 0.500 0.500 0.500
Li 0.000 0.000 0.500
Li 0.500 0.000 0.000

Density functional theory data (GGA-PBE) for a geometry-optimized BePRu2 structure.

Summary:
Total DFT energy (no corrections): -29.3 eV for the cell shown
Energy of formation: -0.394 eV/atom
Spin magnetization: 0.0 Bohr magnetons per cell

a = 4.025 Å, b = 4.025 Å, c = 2.861 Å
α = 90.00°, β = 90.00°, γ = 90.00°
Element x y z (fractional)
Ru 0.000 0.000 0.000
Ru 0.500 0.500 0.000
Be 0.500 0.000 0.500
P 0.000 0.500 0.500

Density functional theory data (GGA-PBE) for a geometry-optimized Li2Sm3Pt3 structure.

Summary:
Total DFT energy (no corrections): -86.0 eV for the cell shown
Energy of formation: -0.865 eV/atom
Spin magnetization: 0.0 Bohr magnetons per cell

a = 5.707 Å, b = 8.560 Å, c = 8.560 Å
α = 120.00°, β = 90.00°, γ = 90.00°
Element x y z (fractional)
Li 0.000 0.333 0.667
Li 0.500 0.667 0.333
Li 0.000 0.667 0.333
Li 0.500 0.333 0.667
Sm 0.750 0.282 0.000
Sm 0.750 0.718 0.718
Sm 0.750 0.000 0.282
Sm 0.250 0.718 0.000
Sm 0.250 0.282 0.282
Sm 0.250 0.000 0.718
Pt 0.750 0.621 0.000
Pt 0.750 0.379 0.379
Pt 0.750 0.000 0.621
Pt 0.250 0.379 0.000
Pt 0.250 0.621 0.621
Pt 0.250 0.000 0.379

Density functional theory data (GGA-PBE) for a geometry-optimized NaVHgCl6 structure.

Summary:
Total DFT energy (no corrections): -31.4 eV for the cell shown
Spin magnetization: 2.0 Bohr magnetons per cell
Energy relative to the elements, uncorrected: -1.0653 eV/atom

a = 6.591 Å, b = 6.592 Å, c = 5.819 Å
α = 90.01°, β = 89.95°, γ = 60.00°
Site moments in Bohr magnetons follow the coordinates.
Element x y z (fractional)
Na 0.667 0.667 0.500  0.00
V 0.333 0.333 0.500  1.77
Hg 0.000 0.000 0.000  0.07
Cl 0.038 0.334 0.261  -0.01
Cl 0.333 0.038 0.739  -0.01
Cl 0.628 0.334 0.739  -0.01
Cl 0.037 0.629 0.738  -0.01
Cl 0.334 0.629 0.261  -0.01
Cl 0.629 0.037 0.261  -0.01

Density functional theory data (GGA-PBE) for a geometry-optimized ZrPSe4 structure.

Summary:
Total DFT energy (no corrections): -61.4 eV for the cell shown
Spin magnetization: 0.0 Bohr magnetons per cell
Energy relative to the elements, uncorrected: -0.4663 eV/atom

a = 6.505 Å, b = 6.480 Å, c = 11.248 Å
α = 90.00°, β = 90.00°, γ = 90.00°
Element x y z (fractional)
Zr 0.000 0.000 0.000
Zr 0.500 0.000 0.500
P 0.000 0.500 0.000
P 0.000 0.000 0.500
Se 0.200 0.279 0.113
Se 0.200 0.721 0.887
Se 0.800 0.279 0.887
Se 0.800 0.721 0.113
Se 0.777 0.801 0.614
Se 0.777 0.199 0.386
Se 0.223 0.801 0.386
Se 0.223 0.199 0.614

Density functional theory data (GGA-PBE) for a geometry-optimized Rb2TaNb structure.

Summary:
Total DFT energy (no corrections): -13.9 eV for the cell shown
Energy of formation: 2.490 eV/atom
Spin magnetization: 0.6 Bohr magnetons per cell

a = 5.821 Å, b = 5.821 Å, c = 5.821 Å
α = 60.00°, β = 60.00°, γ = 60.00°
Site moments in Bohr magnetons follow the coordinates.
Element x y z (fractional)
Nb 0.000 0.000 0.000  2.83
Rb 0.250 0.250 0.250  0.01
Rb 0.750 0.750 0.750  0.01
Ta 0.500 0.500 0.500  -2.08